MnGaO3 | GGA+U | relaxed

Structure (extended XYZ):
```
5
Lattice="3.788 0.000 0.000 0.000 3.788 0.000 0.000 0.000 3.788" Properties=species:S:1:pos:R:3 pbc="T T T"
Mn 0.000 0.000 0.000
Ga 1.894 1.894 1.894
O 0.000 1.894 1.894
O 1.894 0.000 1.894
O 1.894 1.894 0.000
```

Values from the calculation:
- E: -6.139 eV per atom
- M_tot: 4.000 μB/cell
- Volume: 10.9 Å³ per atom